Entry 1:
# Ac4Al5Sn2, optimized geometry, DFT PBE
# Calculated total energy (eV/atom): -4.277
# Space group: P2/m (10)
data_Ac4Al5Sn2
_chemical_formula_sum 'Ac4 Al5 Sn2'
_symmetry_space_group_name_H-M 'P 1'
_symmetry_Int_Tables_number 1
_cell_length_a 5.000
_cell_length_b 7.550
_cell_length_c 8.736
_cell_angle_alpha 85.54
_cell_angle_beta 90.00
_cell_angle_gamma 90.00
loop_
_symmetry_equiv_pos_as_xyz
'x,y,z'
loop_
_atom_site_label
_atom_site_fract_x
_atom_site_fract_y
_atom_site_fract_z
Ac1 0.500 0.228 0.862
Al1 0.000 0.500 0.000
Ac2 0.500 0.772 0.138
Al2 0.000 0.131 0.098
Ac3 0.500 0.744 0.632
Ac4 0.500 0.256 0.368
Sn1 0.000 0.917 0.363
Al3 0.000 0.555 0.349
Sn2 0.000 0.083 0.637
Al4 0.000 0.869 0.902
Al5 0.000 0.445 0.651



Entry 2:
# AcAlSn3, optimized geometry, DFT PBE
# Calculated total energy (eV/atom): -4.245
# Space group: Cmmm (65)
data_AcAlSn3
_chemical_formula_sum 'Ac2 Al2 Sn6'
_symmetry_space_group_name_H-M 'P 1'
_symmetry_Int_Tables_number 1
_cell_length_a 4.527
_cell_length_b 4.901
_cell_length_c 13.643
_cell_angle_alpha 100.35
_cell_angle_beta 90.00
_cell_angle_gamma 90.00
loop_
_symmetry_equiv_pos_as_xyz
'x,y,z'
loop_
_atom_site_label
_atom_site_fract_x
_atom_site_fract_y
_atom_site_fract_z
Al1 0.000 0.621 0.242
Sn1 0.000 0.939 0.879
Sn2 0.500 0.441 0.882
Sn3 0.500 0.559 0.118
Al2 0.000 0.379 0.758
Ac1 0.500 0.171 0.341
Sn4 0.000 0.721 0.442
Sn5 0.000 0.279 0.558
Ac2 0.500 0.829 0.659
Sn6 0.000 0.061 0.121



Entry 3:
# Ac2Al3Sn, optimized geometry, DFT PBE
# Calculated total energy (eV/atom): -4.411
# Space group: Pmm2 (25)
data_Ac2Al3Sn
_chemical_formula_sum 'Ac2 Al3 Sn1'
_symmetry_space_group_name_H-M 'P 1'
_symmetry_Int_Tables_number 1
_cell_length_a 4.710
_cell_length_b 4.563
_cell_length_c 7.925
_cell_angle_alpha 90.00
_cell_angle_beta 90.00
_cell_angle_gamma 90.00
loop_
_symmetry_equiv_pos_as_xyz
'x,y,z'
loop_
_atom_site_label
_atom_site_fract_x
_atom_site_fract_y
_atom_site_fract_z
Sn1 0.500 0.500 0.337
Al1 0.500 0.000 0.154
Al2 0.500 0.000 0.830
Al3 0.500 0.500 0.678
Ac1 0.000 0.500 0.997
Ac2 0.000 0.000 0.504



Entry 4:
# Ac2Al3Sn2, optimized geometry, DFT PBE
# Energy relative to the lowest polymorph listed for this composition (meV per atom): 344
# Space group: Cmmm (65)
data_Ac2Al3Sn2
_chemical_formula_sum 'Ac2 Al3 Sn2'
_symmetry_space_group_name_H-M 'P 1'
_symmetry_Int_Tables_number 1
_cell_length_a 4.588
_cell_length_b 4.358
_cell_length_c 10.794
_cell_angle_alpha 101.65
_cell_angle_beta 90.00
_cell_angle_gamma 90.00
loop_
_symmetry_equiv_pos_as_xyz
'x,y,z'
loop_
_atom_site_label
_atom_site_fract_x
_atom_site_fract_y
_atom_site_fract_z
Al1 0.500 0.437 0.875
Ac1 0.000 0.155 0.311
Sn1 0.500 0.704 0.407
Ac2 0.000 0.845 0.689
Al2 0.000 0.000 0.000
Al3 0.500 0.563 0.125
Sn2 0.500 0.296 0.593



Entry 5:
# Ac12AlSn6, optimized geometry, DFT PBE
# Calculated total energy (eV/atom): -4.393
# Space group: R-3 (148)
data_Ac12AlSn6
_chemical_formula_sum 'Ac12 Al1 Sn6'
_symmetry_space_group_name_H-M 'P 1'
_symmetry_Int_Tables_number 1
_cell_length_a 9.587
_cell_length_b 9.587
_cell_length_c 9.587
_cell_angle_alpha 100.21
_cell_angle_beta 100.21
_cell_angle_gamma 100.21
loop_
_symmetry_equiv_pos_as_xyz
'x,y,z'
loop_
_atom_site_label
_atom_site_fract_x
_atom_site_fract_y
_atom_site_fract_z
Ac1 0.058 0.959 0.326
Ac2 0.326 0.058 0.959
Sn1 0.873 0.374 0.690
Al1 0.000 0.000 0.000
Sn2 0.626 0.310 0.127
Ac3 0.187 0.421 0.560
Ac4 0.440 0.813 0.579
Ac5 0.813 0.579 0.440
Ac6 0.674 0.942 0.041
Ac7 0.942 0.041 0.674
Ac8 0.579 0.440 0.813
Sn3 0.127 0.626 0.310
Ac9 0.959 0.326 0.058
Ac10 0.560 0.187 0.421
Ac11 0.041 0.674 0.942
Sn4 0.374 0.690 0.873
Sn5 0.310 0.127 0.626
Ac12 0.421 0.560 0.187
Sn6 0.690 0.873 0.374



Entry 6:
# Ac7AlSn3, optimized geometry, DFT PBE
# Calculated total energy (eV/atom): -4.360
# Space group: C2/m (12)
data_Ac7AlSn3
_chemical_formula_sum 'Ac7 Al1 Sn3'
_symmetry_space_group_name_H-M 'P 1'
_symmetry_Int_Tables_number 1
_cell_length_a 6.330
_cell_length_b 8.721
_cell_length_c 8.721
_cell_angle_alpha 92.40
_cell_angle_beta 111.22
_cell_angle_gamma 111.22
loop_
_symmetry_equiv_pos_as_xyz
'x,y,z'
loop_
_atom_site_label
_atom_site_fract_x
_atom_site_fract_y
_atom_site_fract_z
Al1 0.500 0.500 0.500
Ac1 0.666 0.932 0.400
Ac2 0.334 0.068 0.600
Sn1 0.500 0.000 0.000
Ac3 0.666 0.400 0.932
Sn2 0.000 0.766 0.234
Ac4 0.000 0.500 0.500
Sn3 0.000 0.234 0.766
Ac5 0.173 0.174 0.174
Ac6 0.334 0.600 0.068
Ac7 0.827 0.826 0.826



Entry 7:
# Ac2AlSn4, optimized geometry, DFT PBE
# Calculated total energy (eV/atom): -4.415
# Space group: C2 (5)
data_Ac2AlSn4
_chemical_formula_sum 'Ac2 Al1 Sn4'
_symmetry_space_group_name_H-M 'P 1'
_symmetry_Int_Tables_number 1
_cell_length_a 7.031
_cell_length_b 7.031
_cell_length_c 6.508
_cell_angle_alpha 117.57
_cell_angle_beta 117.57
_cell_angle_gamma 98.95
loop_
_symmetry_equiv_pos_as_xyz
'x,y,z'
loop_
_atom_site_label
_atom_site_fract_x
_atom_site_fract_y
_atom_site_fract_z
Sn1 0.225 0.279 0.001
Ac1 0.729 0.271 0.500
Al1 0.149 0.851 0.000
Sn2 0.228 0.281 0.508
Sn3 0.721 0.775 0.999
Ac2 0.228 0.772 0.500
Sn4 0.719 0.772 0.492



Entry 8:
# Ac4AlSn, optimized geometry, DFT PBE
# Energy relative to the lowest polymorph listed for this composition (meV per atom): 59
# Space group: C2/m (12)
data_Ac4AlSn
_chemical_formula_sum 'Ac4 Al1 Sn1'
_symmetry_space_group_name_H-M 'P 1'
_symmetry_Int_Tables_number 1
_cell_length_a 5.616
_cell_length_b 5.616
_cell_length_c 9.493
_cell_angle_alpha 72.72
_cell_angle_beta 72.72
_cell_angle_gamma 60.01
loop_
_symmetry_equiv_pos_as_xyz
'x,y,z'
loop_
_atom_site_label
_atom_site_fract_x
_atom_site_fract_y
_atom_site_fract_z
Ac1 0.869 0.869 0.394
Al1 0.500 0.500 0.500
Ac2 0.623 0.623 0.131
Ac3 0.131 0.131 0.606
Ac4 0.377 0.377 0.869
Sn1 0.000 0.000 0.000



Entry 9:
# Ac6AlSn3, optimized geometry, DFT PBE
# Calculated total energy (eV/atom): -4.421
# Space group: Cmc2_1 (36)
data_Ac6AlSn3
_chemical_formula_sum 'Ac12 Al2 Sn6'
_symmetry_space_group_name_H-M 'P 1'
_symmetry_Int_Tables_number 1
_cell_length_a 7.814
_cell_length_b 9.980
_cell_length_c 9.980
_cell_angle_alpha 104.85
_cell_angle_beta 90.00
_cell_angle_gamma 90.00
loop_
_symmetry_equiv_pos_as_xyz
'x,y,z'
loop_
_atom_site_label
_atom_site_fract_x
_atom_site_fract_y
_atom_site_fract_z
Sn1 0.845 0.515 0.485
Ac1 0.206 0.484 0.867
Ac2 0.706 0.516 0.133
Al1 0.127 0.155 0.845
Sn2 0.439 0.008 0.736
Ac3 0.097 0.783 0.684
Sn3 0.439 0.264 0.992
Sn4 0.939 0.992 0.264
Ac4 0.244 0.711 0.289
Ac5 0.284 0.953 0.047
Sn5 0.345 0.485 0.515
Ac6 0.744 0.289 0.711
Al2 0.627 0.845 0.155
Ac7 0.206 0.133 0.516
Ac8 0.784 0.047 0.953
Ac9 0.097 0.316 0.217
Ac10 0.706 0.867 0.484
Ac11 0.597 0.684 0.783
Ac12 0.597 0.217 0.316
Sn6 0.939 0.736 0.008



Entry 10:
# Ac2AlSn5, optimized geometry, DFT PBE
# Calculated total energy (eV/atom): -4.440
# Space group: I4mm (107)
data_Ac2AlSn5
_chemical_formula_sum 'Ac2 Al1 Sn5'
_symmetry_space_group_name_H-M 'P 1'
_symmetry_Int_Tables_number 1
_cell_length_a 6.831
_cell_length_b 6.832
_cell_length_c 6.966
_cell_angle_alpha 119.37
_cell_angle_beta 119.37
_cell_angle_gamma 90.00
loop_
_symmetry_equiv_pos_as_xyz
'x,y,z'
loop_
_atom_site_label
_atom_site_fract_x
_atom_site_fract_y
_atom_site_fract_z
Sn1 0.696 0.696 0.392
Sn2 0.230 0.736 0.966
Al1 0.178 0.178 0.356
Ac1 0.735 0.235 0.471
Ac2 0.235 0.735 0.471
Sn3 0.736 0.230 0.966
Sn4 0.230 0.230 0.966
Sn5 0.736 0.736 0.966



Entry 11:
# Ac6AlSn5, optimized geometry, DFT PBE
# Calculated total energy (eV/atom): -4.576
# Space group: C2/m (12)
data_Ac6AlSn5
_chemical_formula_sum 'Ac6 Al1 Sn5'
_symmetry_space_group_name_H-M 'P 1'
_symmetry_Int_Tables_number 1
_cell_length_a 5.415
_cell_length_b 10.630
_cell_length_c 9.701
_cell_angle_alpha 56.78
_cell_angle_beta 73.82
_cell_angle_gamma 59.42
loop_
_symmetry_equiv_pos_as_xyz
'x,y,z'
loop_
_atom_site_label
_atom_site_fract_x
_atom_site_fract_y
_atom_site_fract_z
Ac1 0.746 0.755 0.000
Ac2 0.752 0.414 0.667
Ac3 0.752 0.081 0.333
Sn1 0.000 0.665 0.671
Ac4 0.254 0.245 0.000
Sn2 0.500 0.835 0.329
Sn3 0.500 0.500 0.000
Al1 0.000 0.000 0.000
Sn4 0.000 0.335 0.329
Sn5 0.500 0.165 0.671
Ac5 0.248 0.919 0.667
Ac6 0.248 0.586 0.333



Entry 12:
# Ac3Al8Sn, optimized geometry, DFT PBE
# Calculated total energy (eV/atom): -4.113
# Space group: R3m (160)
data_Ac3Al8Sn
_chemical_formula_sum 'Ac3 Al8 Sn1'
_symmetry_space_group_name_H-M 'P 1'
_symmetry_Int_Tables_number 1
_cell_length_a 5.830
_cell_length_b 5.830
_cell_length_c 10.223
_cell_angle_alpha 73.43
_cell_angle_beta 73.43
_cell_angle_gamma 60.00
loop_
_symmetry_equiv_pos_as_xyz
'x,y,z'
loop_
_atom_site_label
_atom_site_fract_x
_atom_site_fract_y
_atom_site_fract_z
Al1 0.685 0.685 0.946
Al2 0.435 0.435 0.192
Al3 0.437 0.938 0.687
Ac1 0.502 0.502 0.493
Ac2 0.374 0.374 0.878
Al4 0.938 0.437 0.687
Al5 0.189 0.189 0.432
Al6 0.435 0.938 0.192
Ac3 0.997 0.997 0.008
Al7 0.938 0.938 0.687
Sn1 0.881 0.881 0.357
Al8 0.938 0.435 0.192



Entry 13:
# Ac6AlSn2, optimized geometry, DFT PBE
# Calculated total energy (eV/atom): -4.308
# Space group: Immm (71)
data_Ac6AlSn2
_chemical_formula_sum 'Ac6 Al1 Sn2'
_symmetry_space_group_name_H-M 'P 1'
_symmetry_Int_Tables_number 1
_cell_length_a 5.605
_cell_length_b 7.910
_cell_length_c 9.656
_cell_angle_alpha 114.18
_cell_angle_beta 106.88
_cell_angle_gamma 90.00
loop_
_symmetry_equiv_pos_as_xyz
'x,y,z'
loop_
_atom_site_label
_atom_site_fract_x
_atom_site_fract_y
_atom_site_fract_z
Sn1 0.335 0.334 0.669
Ac1 0.500 0.761 0.000
Ac2 0.500 0.239 0.000
Ac3 0.164 0.410 0.328
Sn2 0.665 0.666 0.331
Al1 0.000 0.000 0.000
Ac4 0.164 0.917 0.328
Ac5 0.836 0.590 0.672
Ac6 0.836 0.083 0.672



Entry 14:
# Ac7Al2Sn2, optimized geometry, DFT PBE
# Calculated total energy (eV/atom): -4.142
# Space group: Cmmm (65)
data_Ac7Al2Sn2
_chemical_formula_sum 'Ac7 Al2 Sn2'
_symmetry_space_group_name_H-M 'P 1'
_symmetry_Int_Tables_number 1
_cell_length_a 7.482
_cell_length_b 8.149
_cell_length_c 7.482
_cell_angle_alpha 90.00
_cell_angle_beta 109.78
_cell_angle_gamma 90.00
loop_
_symmetry_equiv_pos_as_xyz
'x,y,z'
loop_
_atom_site_label
_atom_site_fract_x
_atom_site_fract_y
_atom_site_fract_z
Ac1 0.500 0.716 0.000
Al1 0.287 0.000 0.713
Ac2 0.000 0.716 0.500
Ac3 0.500 0.246 0.500
Ac4 0.000 0.284 0.500
Ac5 0.500 0.284 0.000
Ac6 0.000 0.000 0.000
Sn1 0.828 0.500 0.828
Ac7 0.500 0.754 0.500
Al2 0.713 0.000 0.287
Sn2 0.172 0.500 0.172



Entry 15:
# Ac3Al3Sn2, optimized geometry, DFT PBE
# Calculated total energy (eV/atom): -4.426
# Space group: Cmcm (63)
data_Ac3Al3Sn2
_chemical_formula_sum 'Ac6 Al6 Sn4'
_symmetry_space_group_name_H-M 'P 1'
_symmetry_Int_Tables_number 1
_cell_length_a 4.560
_cell_length_b 6.621
_cell_length_c 17.256
_cell_angle_alpha 90.00
_cell_angle_beta 90.00
_cell_angle_gamma 110.14
loop_
_symmetry_equiv_pos_as_xyz
'x,y,z'
loop_
_atom_site_label
_atom_site_fract_x
_atom_site_fract_y
_atom_site_fract_z
Ac1 0.438 0.877 0.750
Sn1 0.151 0.303 0.116
Al1 0.439 0.879 0.558
Ac2 0.142 0.284 0.907
Al2 0.294 0.588 0.250
Ac3 0.858 0.716 0.407
Ac4 0.142 0.284 0.593
Sn2 0.151 0.303 0.384
Sn3 0.849 0.697 0.616
Sn4 0.849 0.697 0.884
Al3 0.561 0.121 0.442
Al4 0.439 0.879 0.942
Al5 0.706 0.412 0.750
Al6 0.561 0.121 0.058
Ac5 0.562 0.123 0.250
Ac6 0.858 0.716 0.093



Entry 16:
# SrAcAlSn, optimized geometry, DFT PBE
# Calculated total energy (eV/atom): -3.743
# Space group: F-43m (216)
data_SrAcAlSn
_chemical_formula_sum 'Sr1 Ac1 Al1 Sn1'
_symmetry_space_group_name_H-M 'P 1'
_symmetry_Int_Tables_number 1
_cell_length_a 5.687
_cell_length_b 5.687
_cell_length_c 5.687
_cell_angle_alpha 60.00
_cell_angle_beta 60.00
_cell_angle_gamma 60.00
loop_
_symmetry_equiv_pos_as_xyz
'x,y,z'
loop_
_atom_site_label
_atom_site_fract_x
_atom_site_fract_y
_atom_site_fract_z
Ac1 0.000 0.000 0.000
Sr1 0.500 0.500 0.500
Al1 0.750 0.750 0.750
Sn1 0.250 0.250 0.250



Entry 17:
# AcTbAlSn, optimized geometry, DFT PBE
# Calculated total energy (eV/atom): -4.504
# Space group: F-43m (216)
data_AcTbAlSn
_chemical_formula_sum 'Ac1 Tb1 Al1 Sn1'
_symmetry_space_group_name_H-M 'P 1'
_symmetry_Int_Tables_number 1
_cell_length_a 5.496
_cell_length_b 5.496
_cell_length_c 5.496
_cell_angle_alpha 60.00
_cell_angle_beta 60.00
_cell_angle_gamma 60.00
loop_
_symmetry_equiv_pos_as_xyz
'x,y,z'
loop_
_atom_site_label
_atom_site_fract_x
_atom_site_fract_y
_atom_site_fract_z
Ac1 0.500 0.500 0.500
Al1 0.750 0.750 0.750
Sn1 0.250 0.250 0.250
Tb1 0.000 0.000 0.000



Entry 18:
# AcTmAlSn, optimized geometry, DFT PBE
# Calculated total energy (eV/atom): -4.437
# Space group: F-43m (216)
data_AcTmAlSn
_chemical_formula_sum 'Ac1 Tm1 Al1 Sn1'
_symmetry_space_group_name_H-M 'P 1'
_symmetry_Int_Tables_number 1
_cell_length_a 5.460
_cell_length_b 5.460
_cell_length_c 5.460
_cell_angle_alpha 60.00
_cell_angle_beta 60.00
_cell_angle_gamma 60.00
loop_
_symmetry_equiv_pos_as_xyz
'x,y,z'
loop_
_atom_site_label
_atom_site_fract_x
_atom_site_fract_y
_atom_site_fract_z
Sn1 0.250 0.250 0.250
Tm1 0.500 0.500 0.500
Ac1 0.000 0.000 0.000
Al1 0.750 0.750 0.750



Entry 19:
# AcYAlSn, optimized geometry, DFT PBE
# Calculated total energy (eV/atom): -4.973
# Space group: F-43m (216)
data_AcYAlSn
_chemical_formula_sum 'Ac1 Y1 Al1 Sn1'
_symmetry_space_group_name_H-M 'P 1'
_symmetry_Int_Tables_number 1
_cell_length_a 5.491
_cell_length_b 5.491
_cell_length_c 5.491
_cell_angle_alpha 60.00
_cell_angle_beta 60.00
_cell_angle_gamma 60.00
loop_
_symmetry_equiv_pos_as_xyz
'x,y,z'
loop_
_atom_site_label
_atom_site_fract_x
_atom_site_fract_y
_atom_site_fract_z
Y1 0.000 0.000 0.000
Sn1 0.750 0.750 0.750
Ac1 0.500 0.500 0.500
Al1 0.250 0.250 0.250



Entry 20:
# SrAcAl, optimized geometry, DFT PBE
# Energy relative to the lowest polymorph listed for this composition (meV per atom): 86
# Space group: I4mm (107)
data_SrAcAl
_chemical_formula_sum 'Sr1 Ac1 Al1'
_symmetry_space_group_name_H-M 'P 1'
_symmetry_Int_Tables_number 1
_cell_length_a 3.971
_cell_length_b 3.971
_cell_length_c 7.676
_cell_angle_alpha 104.99
_cell_angle_beta 104.99
_cell_angle_gamma 90.00
loop_
_symmetry_equiv_pos_as_xyz
'x,y,z'
loop_
_atom_site_label
_atom_site_fract_x
_atom_site_fract_y
_atom_site_fract_z
Sr1 0.031 0.031 0.062
Ac1 0.299 0.299 0.597
Al1 0.670 0.670 0.341



M_tot? In order: 0.00; 0.00; 0.00; 0.00; 0.23; 0.00; 0.00; 0.00; 0.00; 0.00; 0.00; 0.00; 0.01; 0.00; 0.00; 0.00; 0.00; 0.00; 0.00; 0.00 μB per formula unit.